Record 1
Entry from Alexandria: a geometry-optimized KZr2Sb2 structure (GGA-PBE).

Cell and atoms, written as extended XYZ:
```
5
Lattice="4.727 0.000 0.000 0.000 4.727 0.000 2.363 2.363 7.191" Properties=species:S:1:pos:R:3 pbc="T T T"
Sb 2.363 2.363 1.911
Sb 4.727 4.727 5.281
Zr 2.363 4.727 3.596
Zr 4.727 2.363 3.596
K 0.000 0.000 0.000
```

Summary:
The energy above the most stable polymorph in this dataset is 0 meV per atom. The value obtained for the raw formation energy is -429 meV/atom. The space group is I4/mmm. For the magnetization, the calculation gives 0.0 Bohr magnetons per cell.



Record 2
Entry from Alexandria: a geometry-optimized K2ZrSb structure (GGA-PBE).

Cell and atoms, written as extended XYZ:
```
4
Lattice="-0.917 -1.839 -5.913 1.331 -3.116 0.763 -4.664 -3.471 1.803" Properties=species:S:1:pos:R:3 pbc="T T T"
Sb -1.292 -2.566 -2.315
K 0.006 -0.191 0.058
K -1.672 -3.103 1.224
Zr -2.958 -5.859 -1.032
```

Summary:
The value obtained for the raw formation energy is 321 meV/atom. The space group is P2/m. For the magnetization, the calculation gives 1.1 Bohr magnetons per cell.



Record 3
Entry from Alexandria: a geometry-optimized KZr3Sb structure (GGA-PBE).

Cell and atoms, written as extended XYZ:
```
5
Lattice="4.962 0.000 0.000 0.000 4.962 0.000 0.000 0.000 4.962" Properties=species:S:1:pos:R:3 pbc="T T T"
K 0.000 0.000 0.000
Sb 2.481 2.481 2.481
Zr 2.481 0.000 0.000
Zr 0.000 2.481 0.000
Zr 0.000 0.000 2.481
```

Summary:
The energy above the most stable polymorph in this dataset is 909 meV per atom. The value obtained for the raw formation energy is 1704 meV/atom. The space group is Pm-3m. For the magnetization, the calculation gives 2.0 Bohr magnetons per cell.



Record 4
Entry from Alexandria: a geometry-optimized K2ZrSb2 structure (GGA-PBE).

Cell and atoms, written as extended XYZ:
```
10
Lattice="-7.654 -0.076 -0.725 0.635 -4.450 -6.238 -0.271 -4.747 3.359" Properties=species:S:1:pos:R:3 pbc="T T T"
Sb -4.832 -0.686 -1.359
Sb -2.188 -3.840 -5.604
Sb -6.150 -2.927 -4.633
Sb -0.869 -1.599 -2.330
K -2.594 -3.134 0.407
K -6.314 -3.927 -1.015
K -4.697 -6.139 -4.011
K -0.977 -5.346 -2.589
Zr -3.510 -2.263 -3.481
Zr 0.000 0.000 0.000
```

Summary:
The value obtained for the raw formation energy is -208 meV/atom. The space group is P4/mbm. For the magnetization, the calculation gives 3.5 Bohr magnetons per cell.



Record 5
Entry from Alexandria: a geometry-optimized K2ZrSb structure (GGA-PBE).

Cell and atoms, written as extended XYZ:
```
4
Lattice="5.596 -0.001 0.000 0.006 5.596 0.000 -2.801 -2.798 3.955" Properties=species:S:1:pos:R:3 pbc="T T T"
K 0.000 0.000 0.000
K 0.003 2.798 1.978
Zr 2.798 0.000 1.978
Sb 2.801 2.798 0.000
```

Summary:
The value obtained for the raw formation energy is 341 meV/atom. The space group is F-43m. For the magnetization, the calculation gives 3.0 Bohr magnetons per cell.



Record 6
Entry from Alexandria: a geometry-optimized K2ZrSb structure (GGA-PBE).

Cell and atoms, written as extended XYZ:
```
4
Lattice="-2.779 0.186 -6.741 -3.903 -5.746 -2.226 0.643 5.383 4.880" Properties=species:S:1:pos:R:3 pbc="T T T"
Zr -3.764 -1.957 -1.537
K -2.437 1.646 -2.768
K -0.058 -0.048 -0.078
Sb -3.121 -2.597 -4.188
```

Summary:
The value obtained for the raw formation energy is 200 meV/atom. The space group is Imm2. For the magnetization, the calculation gives 2.6 Bohr magnetons per cell.



Record 7
Entry from Alexandria: a geometry-optimized K2ZrSb structure (GGA-PBE).

Cell and atoms, written as extended XYZ:
```
4
Lattice="6.981 0.006 0.051 -4.309 5.493 0.051 0.410 0.844 3.324" Properties=species:S:1:pos:R:3 pbc="T T T"
K 0.000 0.000 0.000
K 1.336 2.750 0.051
Zr -1.950 3.168 1.687
Sb 3.696 0.425 1.687
```

Summary:
The value obtained for the raw formation energy is 334 meV/atom. The space group is C2/m. For the magnetization, the calculation gives 1.6 Bohr magnetons per cell.



Record 8
Entry from Alexandria: a geometry-optimized K2ZrSb structure (GGA-PBE).

Cell and atoms, written as extended XYZ:
```
4
Lattice="-6.593 1.585 -0.954 3.024 -1.561 5.942 0.725 3.320 0.503" Properties=species:S:1:pos:R:3 pbc="T T T"
Zr 1.874 0.879 3.223
K 0.000 0.000 0.000
K -1.785 0.012 2.494
Sb -2.934 2.452 -0.225
```

Summary:
The value obtained for the raw formation energy is 347 meV/atom. The space group is Cmmm. For the magnetization, the calculation gives 1.5 Bohr magnetons per cell.



Record 9
Entry from Alexandria: a geometry-optimized K2ZrSb structure (GGA-PBE).

Cell and atoms, written as extended XYZ:
```
4
Lattice="3.447 0.000 0.000 0.000 6.045 0.000 0.000 0.000 6.151" Properties=species:S:1:pos:R:3 pbc="T T T"
Sb 1.724 3.022 1.538
Zr 1.724 3.022 4.613
K 0.000 0.000 0.053
K 0.000 0.000 3.022
```

Summary:
The value obtained for the raw formation energy is 332 meV/atom. The space group is Pmmm. For the magnetization, the calculation gives 0.6 Bohr magnetons per cell.



Record 10
Entry from Alexandria: a geometry-optimized K2ZrSb structure (GGA-PBE).

Cell and atoms, written as extended XYZ:
```
4
Lattice="-1.969 2.830 2.790 1.010 -2.655 3.406 5.403 3.018 0.751" Properties=species:S:1:pos:R:3 pbc="T T T"
K -0.480 0.087 3.098
K 0.000 0.000 0.000
Sb 1.717 2.924 1.771
Zr 3.206 0.181 2.079
```

Summary:
The value obtained for the raw formation energy is 216 meV/atom. The space group is P4/mmm. For the magnetization, the calculation gives 0.0 Bohr magnetons per cell.



Record 11
Entry from Alexandria: a geometry-optimized KZrSb3 structure (GGA-PBE).

Cell and atoms, written as extended XYZ:
```
5
Lattice="-2.130 -2.192 -4.721 4.147 -3.797 -0.108 -3.145 -3.522 3.055" Properties=species:S:1:pos:R:3 pbc="T T T"
Sb -1.065 -1.096 -2.360
Sb 2.074 -1.899 -0.054
Sb -1.573 -1.761 1.527
K -0.564 -4.756 -0.887
Zr 0.000 0.000 0.000
```

Summary:
The energy above the most stable polymorph in this dataset is 0 meV per atom. The value obtained for the raw formation energy is -189 meV/atom. The space group is Pm-3m. For the magnetization, the calculation gives 0.0 Bohr magnetons per cell.



Record 12
Entry from Alexandria: a geometry-optimized K2ZrSb structure (GGA-PBE).

Cell and atoms, written as extended XYZ:
```
4
Lattice="-3.616 -3.251 -0.961 1.110 -4.729 -0.986 -1.393 -4.595 8.285" Properties=species:S:1:pos:R:3 pbc="T T T"
K -2.551 -8.138 -1.141
K -2.880 -9.278 3.948
Zr -1.044 -3.385 2.704
Sb -1.878 -6.042 2.050
```

Summary:
The value obtained for the raw formation energy is 73 meV/atom. The space group is Cm. For the magnetization, the calculation gives 2.0 Bohr magnetons per cell.